(1)
A plane-wave DFT calculation with PBE was carried out for an optimized crystal structure of SrLiNiSn.

The structure in extended XYZ format:
```
4
Lattice="0.000 3.454 3.454 3.454 0.000 3.454 3.454 3.454 0.000" Properties=species:S:1:pos:R:3 pbc="T T T"
Sr 0.000 0.000 0.000
Li 1.727 1.727 1.727
Ni 5.181 5.181 5.181
Sn 3.454 3.454 3.454
```

Output
Calculated volume = 20.61 Å³/atom

(2)
A plane-wave DFT calculation with PBE was carried out for an optimized crystal structure of LiTh2Ni4Sn3.

The structure in extended XYZ format:
```
10
Lattice="4.410 0.000 0.000 0.000 4.410 0.000 0.000 0.000 9.995" Properties=species:S:1:pos:R:3 pbc="T T T"
Li 0.000 0.000 0.000
Th 0.000 2.205 7.363
Th 2.205 0.000 2.632
Ni 0.000 0.000 4.998
Ni 0.000 2.205 1.229
Ni 2.205 0.000 8.766
Ni 2.205 2.205 4.998
Sn 0.000 2.205 3.701
Sn 2.205 0.000 6.294
Sn 2.205 2.205 0.000
```

Output
Calculated volume = 19.44 Å³/atom

(3)
A plane-wave DFT calculation with PBE was carried out for an optimized crystal structure of LiThNiSn.

The structure in extended XYZ format:
```
4
Lattice="0.000 3.382 3.382 3.382 0.000 3.382 3.382 3.382 0.000" Properties=species:S:1:pos:R:3 pbc="T T T"
Li 0.000 0.000 0.000
Th 1.691 1.691 1.691
Ni 3.382 3.382 3.382
Sn 5.073 5.073 5.073
```

Output
Calculated volume = 19.34 Å³/atom

(4)
A plane-wave DFT calculation with PBE was carried out for an optimized crystal structure of LiTlNiSn2.

The structure in extended XYZ format:
```
5
Lattice="4.916 0.000 0.000 0.000 4.916 0.000 0.000 0.000 5.011" Properties=species:S:1:pos:R:3 pbc="T T T"
Li 0.000 0.000 0.000
Tl 2.458 2.458 0.000
Ni 0.000 0.000 2.505
Sn 0.000 2.458 2.505
Sn 2.458 0.000 2.505
```

Output
Calculated volume = 24.22 Å³/atom

(5)
A plane-wave DFT calculation with PBE was carried out for an optimized crystal structure of LiUNiSn.

The structure in extended XYZ format:
```
4
Lattice="0.000 3.304 3.304 3.304 0.000 3.304 3.304 3.304 0.000" Properties=species:S:1:pos:R:3 pbc="T T T"
Li 0.000 0.000 0.000
U 1.652 1.652 1.652
Ni 3.304 3.304 3.304
Sn 4.956 4.956 4.956
```

Output
Calculated volume = 18.03 Å³/atom

(6)
A plane-wave DFT calculation with PBE was carried out for an optimized crystal structure of Li2ZrNiSn.

The structure in extended XYZ format:
```
5
Lattice="5.049 0.000 0.000 0.000 5.049 0.000 0.000 0.000 5.490" Properties=species:S:1:pos:R:3 pbc="T T T"
Li 0.000 2.525 0.000
Li 2.525 0.000 0.000
Zr 0.000 0.000 0.000
Ni 2.525 2.525 2.745
Sn 0.000 0.000 2.745
```

Output
Calculated volume = 27.99 Å³/atom

(7)
A plane-wave DFT calculation with PBE was carried out for an optimized crystal structure of SrLi2Ni.

The structure in extended XYZ format:
```
4
Lattice="-2.506 2.506 3.496 2.506 -2.506 3.496 2.506 2.506 -3.496" Properties=species:S:1:pos:R:3 pbc="T T T"
Sr 0.000 0.000 0.000
Li 0.000 0.000 3.496
Li 0.000 2.506 1.748
Ni 2.506 0.000 1.748
```

Output
Excess energy over the best structure of this formula in the dataset = 119 meV/atom
Calculated volume = 21.95 Å³/atom

(8)
A plane-wave DFT calculation with PBE was carried out for an optimized crystal structure of SrLi2Ni.

The structure in extended XYZ format:
```
8
Lattice="-2.112 2.112 10.174 2.112 -2.112 10.174 2.112 2.112 -10.174" Properties=species:S:1:pos:R:3 pbc="T T T"
Sr 0.000 0.000 0.000
Sr 0.000 2.112 5.087
Li 1.056 -0.707 7.630
Li 1.405 1.056 2.543
Li 1.056 2.818 -2.543
Li 0.707 1.056 12.717
Ni 2.112 0.000 5.087
Ni 0.000 0.000 10.174
```

Output
Excess energy over the best structure of this formula in the dataset = 158 meV/atom
Calculated volume = 22.68 Å³/atom

(9)
A plane-wave DFT calculation with PBE was carried out for an optimized crystal structure of Sr4LiNi2.

The structure in extended XYZ format:
```
14
Lattice="7.089 0.000 0.000 -0.260 7.388 0.000 -3.406 -3.695 8.410" Properties=species:S:1:pos:R:3 pbc="T T T"
Sr 0.000 0.000 0.000
Sr -1.409 0.610 3.835
Sr -0.129 3.694 1.337
Sr -1.293 4.369 4.959
Sr 0.097 -1.763 8.300
Sr 3.375 5.625 1.446
Sr 2.252 4.368 4.789
Sr 2.140 0.609 5.912
Li -1.401 1.221 6.981
Li 2.138 1.221 2.766
Ni -2.615 -1.101 6.820
Ni 0.927 -1.099 2.930
Ni 0.598 2.947 7.013
Ni 4.137 2.947 2.734
```

Output
Calculated volume = 31.46 Å³/atom

(10)
A plane-wave DFT calculation with PBE was carried out for an optimized crystal structure of Sr2LiNi.

The structure in extended XYZ format:
```
4
Lattice="3.708 0.000 0.000 0.000 3.708 0.000 0.000 0.000 8.471" Properties=species:S:1:pos:R:3 pbc="T T T"
Sr 0.000 0.000 0.000
Sr 1.854 1.854 3.469
Li 0.000 0.000 5.630
Ni 1.854 1.854 6.526
```

Output
Calculated volume = 29.12 Å³/atom

(11)
A plane-wave DFT calculation with PBE was carried out for an optimized crystal structure of Sr2LiNi.

The structure in extended XYZ format:
```
4
Lattice="2.651 -2.656 0.000 2.651 2.656 0.000 0.000 0.000 8.477" Properties=species:S:1:pos:R:3 pbc="T T T"
Sr 0.000 0.000 1.758
Sr 0.000 0.000 6.719
Li 2.651 0.000 4.238
Ni 2.651 0.000 0.000
```

Output
Calculated volume = 29.84 Å³/atom

(12)
A plane-wave DFT calculation with PBE was carried out for an optimized crystal structure of Sr2LiNi.

The structure in extended XYZ format:
```
4
Lattice="3.766 -2.175 0.000 3.766 2.175 0.000 -2.500 0.000 7.835" Properties=species:S:1:pos:R:3 pbc="T T T"
Sr 0.000 0.000 0.000
Sr 0.003 0.000 4.096
Li 5.022 0.000 2.048
Ni 2.511 0.000 2.040
```

Output
Calculated volume = 32.10 Å³/atom

(13)
A plane-wave DFT calculation with PBE was carried out for an optimized crystal structure of Sr3Li2Ni7.

The structure in extended XYZ format:
```
12
Lattice="2.604 1.504 8.366 -2.604 1.504 8.366 0.000 -3.007 8.366" Properties=species:S:1:pos:R:3 pbc="T T T"
Sr 0.000 0.000 0.000
Sr 0.000 0.000 3.510
Sr 0.000 0.000 21.590
Li 0.000 0.000 8.380
Li 0.000 0.000 16.720
Ni -1.288 -0.743 10.452
Ni 0.000 -1.487 14.648
Ni -1.288 0.743 14.648
Ni 0.000 0.000 12.550
Ni 1.288 -0.743 10.452
Ni 0.000 1.487 10.452
Ni 1.288 0.743 14.648
```

Output
Calculated volume = 16.38 Å³/atom

(14)
A plane-wave DFT calculation with PBE was carried out for an optimized crystal structure of Sr2LiNi.

The structure in extended XYZ format:
```
4
Lattice="0.000 3.785 3.785 3.785 0.000 3.785 3.785 3.785 0.000" Properties=species:S:1:pos:R:3 pbc="T T T"
Sr 0.000 0.000 0.000
Sr 1.892 1.892 1.892
Li 3.785 3.785 3.785
Ni 5.677 5.677 5.677
```

Output
Calculated volume = 27.10 Å³/atom

(15)
A plane-wave DFT calculation with PBE was carried out for an optimized crystal structure of Sr2LiNi2.

The structure in extended XYZ format:
```
10
Lattice="7.631 0.000 0.000 0.000 7.631 0.000 0.000 0.000 4.268" Properties=species:S:1:pos:R:3 pbc="T T T"
Sr 1.353 2.462 0.000
Sr 2.462 6.278 0.000
Sr 5.169 1.353 0.000
Sr 6.278 5.169 0.000
Li 0.000 0.000 2.134
Li 3.815 3.815 2.134
Ni 0.821 4.637 2.134
Ni 2.994 0.821 2.134
Ni 4.637 6.810 2.134
Ni 6.810 2.994 2.134
```

Output
Excess energy over the best structure of this formula in the dataset = 0 meV/atom
Calculated volume = 24.85 Å³/atom

(16)
A plane-wave DFT calculation with PBE was carried out for an optimized crystal structure of Sr4Li2Ni.

The structure in extended XYZ format:
```
7
Lattice="-2.845 2.845 8.929 2.845 -2.845 8.929 2.845 2.845 -8.929" Properties=species:S:1:pos:R:3 pbc="T T T"
Sr 2.845 0.000 0.000
Sr 0.000 0.000 3.050
Sr 0.000 2.845 0.000
Sr 0.000 0.000 14.808
Li 0.000 0.000 6.647
Li 0.000 0.000 11.210
Ni 0.000 0.000 0.000
```

Output
Calculated volume = 41.31 Å³/atom

(17)
A plane-wave DFT calculation with PBE was carried out for an optimized crystal structure of Sr2LiNi.

The structure in extended XYZ format:
```
4
Lattice="-1.871 2.637 6.126 1.871 -2.637 6.126 1.871 2.637 -6.126" Properties=species:S:1:pos:R:3 pbc="T T T"
Sr 0.000 0.000 0.000
Sr 0.000 2.637 2.469
Li 1.871 0.000 4.177
Ni 0.000 0.000 6.066
```

Output
Calculated volume = 30.21 Å³/atom

(18)
A plane-wave DFT calculation with PBE was carried out for an optimized crystal structure of SrLiNi10.

The structure in extended XYZ format:
```
12
Lattice="3.977 0.000 0.000 0.000 4.850 0.000 0.000 0.000 8.487" Properties=species:S:1:pos:R:3 pbc="T T T"
Sr 0.000 0.000 0.000
Li 0.000 2.425 4.244
Ni 0.000 0.000 2.957
Ni 0.000 0.000 5.530
Ni 0.000 2.425 1.640
Ni 0.000 2.425 6.847
Ni 1.988 0.000 4.244
Ni 1.988 1.230 2.203
Ni 1.988 1.230 6.284
Ni 1.988 2.425 0.000
Ni 1.988 3.620 2.203
Ni 1.988 3.620 6.284
```

Output
Calculated volume = 13.64 Å³/atom

(19)
A plane-wave DFT calculation with PBE was carried out for an optimized crystal structure of Sr2LiNi2.

The structure in extended XYZ format:
```
5
Lattice="-2.893 2.893 3.866 2.893 -2.893 3.866 2.893 2.893 -3.866" Properties=species:S:1:pos:R:3 pbc="T T T"
Sr 2.893 0.000 1.933
Sr 0.000 2.893 1.933
Li 0.000 0.000 0.000
Ni 0.000 0.000 2.697
Ni 0.000 0.000 5.036
```

Output
Excess energy over the best structure of this formula in the dataset = 158 meV/atom
Calculated volume = 25.88 Å³/atom

(20)
A plane-wave DFT calculation with PBE was carried out for an optimized crystal structure of SrLi2Ni.

The structure in extended XYZ format:
```
4
Lattice="4.335 0.000 0.000 0.000 4.796 0.000 -0.750 0.000 4.475" Properties=species:S:1:pos:R:3 pbc="T T T"
Sr 0.000 0.000 0.000
Li 0.892 2.398 3.026
Li 2.693 2.398 1.449
Ni 1.793 0.000 2.237
```

Output
Excess energy over the best structure of this formula in the dataset = 115 meV/atom
Calculated volume = 23.26 Å³/atom

Number 1: formation enthalpy at 0 K -0.2347 eV per atom, E_tot -0.1315 hartree per atom. Number 2: formation enthalpy at 0 K -0.4434 eV per atom, E_tot -0.2070 hartree per atom. Number 3: formation enthalpy at 0 K -0.4140 eV per atom, E_tot -0.1909 hartree per atom. Number 4: formation enthalpy at 0 K -0.0715 eV per atom, E_tot -0.1354 hartree per atom. Number 5: formation enthalpy at 0 K -0.0970 eV per atom, E_tot -0.2147 hartree per atom. Number 6: formation enthalpy at 0 K 1.3826 eV per atom, E_tot -0.1121 hartree per atom. Number 7: formation enthalpy at 0 K 0.1873 eV per atom, E_tot -0.0969 hartree per atom. Number 8: formation enthalpy at 0 K 0.2260 eV per atom, E_tot -0.0954 hartree per atom. Number 9: formation enthalpy at 0 K 0.0628 eV per atom, E_tot -0.1038 hartree per atom. Number 10: formation enthalpy at 0 K 0.1864 eV per atom, E_tot -0.0948 hartree per atom. Number 11: formation enthalpy at 0 K 0.0913 eV per atom, E_tot -0.0982 hartree per atom. Number 12: formation enthalpy at 0 K 0.0316 eV per atom, E_tot -0.1004 hartree per atom. Number 13: formation enthalpy at 0 K -0.0065 eV per atom, E_tot -0.1513 hartree per atom. Number 14: formation enthalpy at 0 K 0.3825 eV per atom, E_tot -0.0875 hartree per atom. Number 15: formation enthalpy at 0 K 0.0639 eV per atom, E_tot -0.1214 hartree per atom. Number 16: formation enthalpy at 0 K 0.0874 eV per atom, E_tot -0.0826 hartree per atom. Number 17: formation enthalpy at 0 K 0.1386 eV per atom, E_tot -0.0965 hartree per atom. Number 18: formation enthalpy at 0 K 0.0603 eV per atom, E_tot -0.1858 hartree per atom. Number 19: formation enthalpy at 0 K 0.2217 eV per atom, E_tot -0.1156 hartree per atom. Number 20: formation enthalpy at 0 K 0.1826 eV per atom, E_tot -0.0970 hartree per atom.